[1]
Here is crystalline CaVF6 at its relaxed geometry from the Alexandria database. Energies are from GGA-PBEsol.

The electronic total energy comes out at -148.6 eV/cell.

It has space group R-3 (No. 148, hexagonal axes), with a = 5.5833 Å, b = 5.5833 Å, c = 14.1731 Å, α = 90.00°, β = 90.00° and γ = 120.00°. Symmetry generates all atoms from Ca at (0.0000, 0.0000, 0.0000), V at (0.0000, 0.0000, 0.5000) and F at (0.0345, 0.5939, 0.2417).

---

[2]
Here is crystalline Li2LaAl2 at its relaxed geometry from the Alexandria database. Energies are from GGA-PBEsol.

The value obtained for the formation energy is -0.115 eV/atom.

It has space group I4/mmm (No. 139), with a = 4.268 Å, b = 4.268 Å, c = 12.379 Å, α = 90.00°, β = 90.00° and γ = 90.00°. Symmetry generates all atoms from Li at (0.000, 0.500, 0.250), La at (0.000, 0.000, 0.000) and Al at (0.000, 0.000, 0.396).

---

[3]
Here is crystalline Ti2GePb2 at its relaxed geometry from the Alexandria database. Energies are from GGA-PBEsol.

The value obtained for the formation energy is 0.393 eV/atom.

It has space group I4/mmm (No. 139), with a = 4.038 Å, b = 4.038 Å, c = 13.613 Å, α = 90.00°, β = 90.00° and γ = 90.00°. Symmetry generates all atoms from Ti at (0.000, 0.000, 0.088), Ge at (0.000, 0.000, 0.500) and Pb at (0.000, 0.500, 0.250).